## Ni5Sb2 (GGA-PBE)

Data for a geometry-optimized Ni5Sb2 structure.

Cell and atoms, written as CIF:
```
data_Ni5Sb2
_cell_length_a 13.016
_cell_length_b 5.412
_cell_length_c 6.159
_cell_angle_alpha 90.00
_cell_angle_beta 117.94
_cell_angle_gamma 90.00
_space_group_name_H-M_alt 'C 1 2/m 1'
_space_group_IT_number 12
loop_
_space_group_symop_operation_xyz
'x,y,z'
'-x,-y,-z'
'-x,y,-z'
'x,-y,z'
'x+1/2,y+1/2,z'
'-x+1/2,-y+1/2,-z'
'-x+1/2,y+1/2,-z'
'x+1/2,-y+1/2,z'
loop_
_atom_site_label
_atom_site_fract_x
_atom_site_fract_y
_atom_site_fract_z
_atom_site_occupancy
Ni1 0.000 0.249 0.000 1
Ni2 0.102 0.000 0.406 1
Ni3 0.128 0.500 0.850 1
Ni4 0.229 0.249 0.258 1
Sb1 0.103 0.500 0.402 1
Sb2 0.127 0.000 0.849 1
```

Results
formation energy from raw total energies = -1.19 eV per formula unit
total moment = 0.000 μB/cell